[1]
Entry from Alexandria via LeMat-Bulk: an optimized crystal structure of Ba3AgCl7 (PBE).

Geometry as extended XYZ:
```
22
Lattice="-2.6539 0.6258 -8.2906 8.2147 -2.8876 0.5909 -3.3258 -9.3886 0.3560" Properties=species:S:1:pos:R:3 pbc="T T T"
Cl 4.5060 -9.5532 -0.5754
Ba 5.2145 -4.6151 -3.2384
Ba -1.6629 -4.6943 0.1780
Cl 2.4378 -3.6769 -4.4378
Ag 1.1175 -5.8252 -3.6719
Cl 5.7684 -4.6960 -0.1989
Cl -3.5334 -6.9544 -7.1449
Cl 2.2705 -11.0657 -4.0506
Ba -2.9795 -7.0354 -4.1054
Cl -0.0355 -0.5847 -3.2932
Cl -2.2710 -2.0972 -6.7684
Ag 2.7804 -1.1309 -3.8499
Cl -0.2028 -7.9735 -2.9060
Ba 0.6327 -3.1339 -6.9825
Ba 1.6023 -8.5165 -0.3613
Cl 1.4622 -5.3663 -0.8069
Cl -0.5931 -10.1401 -6.3907
Cl 3.6364 -7.2098 -4.1968
Cl 0.7728 -6.2841 -6.5369
Cl 2.8281 -1.5104 -0.9531
Cl -1.4014 -4.4406 -3.1469
Ba 0.0000 0.0000 0.0000
```

Calculated values
raw formation energy = -2110 meV per atom
space-group type = Cmcm, No. 63
density of states at the Fermi level = 0.00 states/eV per cell


[2]
Entry from Alexandria via LeMat-Bulk: an optimized crystal structure of Ba2AgCl (PBE).

Geometry as extended XYZ:
```
4
Lattice="-6.8215 0.4232 0.2583 -0.1631 -4.0871 2.3888 0.3019 2.3738 4.0850" Properties=species:S:1:pos:R:3 pbc="T T T"
Ba -3.3587 -0.4311 2.5573
Ag -3.2893 -1.2876 5.7932
Ba 0.1215 -1.4996 5.6655
Cl 0.0521 -0.6419 2.4268
```

Calculated values
raw formation energy = -983 meV per atom
space-group type = P4/mmm, No. 123
density of states at the Fermi level = 4.42 states/eV per cell
relative energy among the computed polymorphs = 0.020 eV/atom


[3]
Entry from Alexandria via LeMat-Bulk: an optimized crystal structure of BaAg2Cl (PBE).

Geometry as extended XYZ:
```
4
Lattice="-3.9194 -2.7556 0.6608 0.8128 -2.1702 -4.2452 3.2294 -3.9596 2.6425" Properties=species:S:1:pos:R:3 pbc="T T T"
Ag 1.6125 -1.9772 1.3195
Ag 0.0021 -0.0026 0.0018
Cl 0.8687 -5.4326 0.1896
Ba -0.7460 -3.4528 -1.1316
```

Calculated values
raw formation energy = -527 meV per atom
space-group type = P4/mmm, No. 123
density of states at the Fermi level = 1.51 states/eV per cell
relative energy among the computed polymorphs = 0.239 eV/atom


[4]
Entry from Alexandria via LeMat-Bulk: an optimized crystal structure of Ba3AgCl (PBE).

Geometry as extended XYZ:
```
5
Lattice="-3.4659 4.9499 0.3797 -0.8110 -1.0213 5.9124 4.8977 3.3337 1.2477" Properties=species:S:1:pos:R:3 pbc="T T T"
Ba 2.4489 1.6668 0.6238
Ba -1.7329 2.4749 0.1898
Ba -0.4055 -0.5107 2.9562
Ag 0.3104 3.6311 3.7699
Cl 0.0000 0.0000 0.0000
```

Calculated values
raw formation energy = -529 meV per atom
space-group type = Pm-3m, No. 221
density of states at the Fermi level = 5.28 states/eV per cell
relative energy among the computed polymorphs = 0.000 eV/atom


- Among the records above, which one has the highest raw formation energy?
  BaAg2Cl